Model P:
VASP calculation (PBE) on a relaxed structure of TlGeAsBr2.

Summary:
- Total magnetic moment: 0.46 μB/f.u.

```
TlGeAsBr2
1.0
5.586 0.000 0.000
0.000 5.586 0.000
0.000 0.000 5.527
Tl Ge As Br
1 1 1 2
direct
0.000 0.000 0.000
0.500 0.500 0.500
0.000 0.000 0.500
0.000 0.500 0.000
0.500 0.000 0.000
```

Model Q:
VASP calculation (PBE) on a relaxed structure of TlGeAsBr2.

Summary:
- Total magnetic moment: 0.61 μB/f.u.

```
TlGeAsBr2
1.0
5.589 0.000 0.000
0.000 5.589 0.000
0.000 0.000 5.159
Tl Ge As Br
1 1 1 2
direct
0.000 0.000 0.000
0.500 0.500 0.000
0.500 0.500 0.500
0.000 0.500 0.500
0.500 0.000 0.500
```

The data favor model Q; the next most stable structure lies 0.468 eV/atom above it.

Model P:
VASP calculation (PBE) on a relaxed structure of VGeAs2Br.

Summary:
- Total magnetic moment: 2.56 μB/f.u.

```
VGeAs2Br
1.0
4.907 0.000 0.000
0.000 4.907 0.000
0.000 0.000 5.226
V Ge As Br
1 1 2 1
direct
0.000 0.000 0.000
0.500 0.500 0.500
0.000 0.500 0.500
0.500 0.000 0.500
0.500 0.500 0.000
```

Model Q:
VASP calculation (PBE) on a relaxed structure of VGeAs2Br.

Summary:
- Total magnetic moment: 1.06 μB/f.u.

```
VGeAs2Br
1.0
4.723 0.000 0.000
0.000 4.723 0.000
0.000 0.000 5.323
V Ge As Br
1 1 2 1
direct
0.000 0.000 0.000
0.500 0.500 0.500
0.000 0.500 0.000
0.500 0.000 0.000
0.000 0.000 0.500
```

The data favor model Q; the next most stable structure lies 0.521 eV/atom above it.